(1)
# Y2ErTh3S6, optimized geometry, DFT GGA-PBE
# E_form (uncorrected)   -1.90 eV per atom
# Theoretical density   7.70 Mg/m³
# E   -7.275 eV per atom
data_Y2ErTh3S6
_cell_length_a 6.759
_cell_length_b 11.637
_cell_length_c 7.119
_cell_angle_alpha 90.00
_cell_angle_beta 108.22
_cell_angle_gamma 90.00
_space_group_name_H-M_alt 'C 1 2/m 1'
_space_group_IT_number 12
loop_
_space_group_symop_operation_xyz
'x,y,z'
'-x,-y,-z'
'-x,y,-z'
'x,-y,z'
'x+1/2,y+1/2,z'
'-x+1/2,-y+1/2,-z'
'-x+1/2,y+1/2,-z'
'x+1/2,-y+1/2,z'
loop_
_atom_site_label
_atom_site_type_symbol
_atom_site_fract_x
_atom_site_fract_y
_atom_site_fract_z
Y1 Y 0.000 0.166 0.000
Er1 Er 0.000 0.500 0.000
Th1 Th 0.000 0.000 0.500
Th2 Th 0.000 0.332 0.500
S1 S 0.242 0.335 0.232
S2 S 0.248 0.000 0.234

***

(2)
# ZnSbAu2, optimized geometry, DFT GGA-PBE
# E_form (uncorrected)   0.06 eV per atom
# Theoretical density   12.14 Mg/m³
# E   -2.926 eV per atom
data_ZnSbAu2
_cell_length_a 3.112
_cell_length_b 3.112
_cell_length_c 8.211
_cell_angle_alpha 90.00
_cell_angle_beta 90.00
_cell_angle_gamma 90.00
_space_group_name_H-M_alt 'P 4 m m'
_space_group_IT_number 99
loop_
_space_group_symop_operation_xyz
'x,y,z'
'-y,x,z'
'-x,-y,z'
'y,-x,z'
'-x,y,z'
'y,x,z'
'x,-y,z'
'-y,-x,z'
loop_
_atom_site_label
_atom_site_type_symbol
_atom_site_fract_x
_atom_site_fract_y
_atom_site_fract_z
Zn1 Zn 0.000 0.000 0.000
Sb1 Sb 0.500 0.500 0.709
Au1 Au 0.000 0.000 0.438
Au2 Au 0.500 0.500 0.190

***

(3)
# SmGdTlCu, optimized geometry, DFT GGA-PBE
# DFT formation energy   -0.24 eV/atom
# Theoretical density   9.32 Mg/m³
# E   -6.558 eV per atom
data_SmGdTlCu
_cell_length_a 7.429
_cell_length_b 7.429
_cell_length_c 7.429
_cell_angle_alpha 90.00
_cell_angle_beta 90.00
_cell_angle_gamma 90.00
_space_group_name_H-M_alt 'F -4 3 m'
_space_group_IT_number 216
_space_group_name_Hall 'F -4 2 3'
loop_
_atom_site_label
_atom_site_type_symbol
_atom_site_fract_x
_atom_site_fract_y
_atom_site_fract_z
Sm1 Sm 0.000 0.000 0.000
Gd1 Gd 0.000 0.000 0.500
Tl1 Tl 0.250 0.250 0.250
Cu1 Cu 0.250 0.250 0.750

***

(4)
# Li5CuP2, optimized geometry, DFT GGA-PBE
# DFT formation energy   -0.55 eV/atom
# Theoretical density   2.10 Mg/m³
# E   -3.615 eV per atom
data_Li5CuP2
_cell_length_a 4.3493
_cell_length_b 4.3493
_cell_length_c 15.4899
_cell_angle_alpha 90.00
_cell_angle_beta 90.00
_cell_angle_gamma 120.00
_space_group_name_H-M_alt 'P 63/m m c'
_space_group_IT_number 194
_space_group_name_Hall '-P 6c 2c'
loop_
_atom_site_label
_atom_site_type_symbol
_atom_site_fract_x
_atom_site_fract_y
_atom_site_fract_z
Li1 Li 0.0000 0.0000 0.1314
Li2 Li 0.3333 0.6667 0.0524
Li3 Li 0.3333 0.6667 0.2500
Cu1 Cu 0.3333 0.6667 0.7500
P1 P 0.3333 0.6667 0.6103

***

(5)
# Np4TlS8, optimized geometry, DFT GGA-PBE
# E_form (uncorrected)   -1.17 eV per atom
# Theoretical density   5.97 Mg/m³
# E   -7.873 eV per atom
data_Np4TlS8
_cell_length_a 11.616
_cell_length_b 11.616
_cell_length_c 11.616
_cell_angle_alpha 90.00
_cell_angle_beta 90.00
_cell_angle_gamma 90.00
_space_group_name_H-M_alt 'F -4 3 m'
_space_group_IT_number 216
_space_group_name_Hall 'F -4 2 3'
loop_
_atom_site_label
_atom_site_type_symbol
_atom_site_fract_x
_atom_site_fract_y
_atom_site_fract_z
Np1 Np 0.123 0.123 0.123
Tl1 Tl 0.000 0.000 0.500
S1 S 0.109 0.109 0.891
S2 S 0.145 0.145 0.355

***

(6)
# Ta6OsRh, optimized geometry, DFT GGA-PBE
# DFT formation energy   -0.27 eV/atom
# Theoretical density   16.66 Mg/m³
# E   -11.484 eV per atom
data_Ta6OsRh
_cell_length_a 4.589
_cell_length_b 4.589
_cell_length_c 13.050
_cell_angle_alpha 90.00
_cell_angle_beta 90.00
_cell_angle_gamma 90.00
_space_group_name_H-M_alt 'I 4/m m m'
_space_group_IT_number 139
_space_group_name_Hall '-I 4 2'
loop_
_atom_site_label
_atom_site_type_symbol
_atom_site_fract_x
_atom_site_fract_y
_atom_site_fract_z
Ta1 Ta 0.000 0.000 0.250
Ta2 Ta 0.000 0.500 0.122
Os1 Os 0.000 0.000 0.000
Rh1 Rh 0.000 0.000 0.500